# NaSrTlBr6

A relaxed NaSrTlBr6 crystal (PBE, Alexandria).

## Properties
Total DFT energy (no corrections) (eV/atom): -2.945

```
data_NaSrTlBr6
_chemical_formula_sum 'Na2 Sr2 Tl2 Br12'
_space_group_name_H-M_alt 'P -3 1 c'
_space_group_IT_number 163
_space_group_name_Hall '-P 3 2c'
_cell_length_a 7.5033
_cell_length_b 7.5033
_cell_length_c 13.1422
_cell_angle_alpha 90.00
_cell_angle_beta 90.00
_cell_angle_gamma 120.00
loop_
_atom_site_label
_atom_site_type_symbol
_atom_site_fract_x
_atom_site_fract_y
_atom_site_fract_z
Na1 Na 0.0000 0.0000 0.0000
Sr1 Sr 0.3333 0.6667 0.2500
Tl1 Tl 0.3333 0.6667 0.7500
Br1 Br 0.0270 0.3618 0.6259
```